1.
Below is an optimized crystal structure of SrAl2Tc, with properties calculated at the PBE level.

- Crystal system: cubic
- DFT formation energy: 469.8 meV/atom
- Energy above the lowest structure with this stoichiometry: 0.605 eV/atom

a = 6.765 Å, b = 6.765 Å, c = 6.765 Å
α = 90.00°, β = 90.00°, γ = 90.00°
Space group F-43m (No. 216)
One atom of each set of equivalent atoms:
1 Sr 0.000 0.000 0.000 (multiplicity 4)
2 Al 0.000 0.000 0.500 (multiplicity 4)
3 Al 0.250 0.250 0.250 (multiplicity 4)
4 Tc 0.250 0.250 0.750 (multiplicity 4)


2.
Below is an optimized crystal structure of Sr2AlTc, with properties calculated at the PBE level.

- Crystal system: monoclinic
- DFT formation energy: 112.1 meV/atom

a = 7.616 Å, b = 4.397 Å, c = 8.323 Å
α = 90.00°, β = 107.86°, γ = 90.00°
Space group Cm (No. 8)
One atom of each set of equivalent atoms:
1 Sr 0.000 0.000 0.000 (multiplicity 2)
2 Sr 0.175 0.000 0.521 (multiplicity 2)
3 Al 0.421 0.000 0.260 (multiplicity 2)
4 Tc 0.254 0.500 0.261 (multiplicity 2)


3.
Below is an optimized crystal structure of Sr2AlTc, with properties calculated at the PBE level.

- Crystal system: orthorhombic
- DFT formation energy: 634.9 meV/atom

a = 4.721 Å, b = 4.732 Å, c = 9.385 Å
α = 90.00°, β = 90.00°, γ = 90.00°
Space group Immm (No. 71)
One atom of each set of equivalent atoms:
1 Sr 0.000 0.000 0.250 (multiplicity 4)
2 Al 0.000 0.500 0.000 (multiplicity 2)
3 Tc 0.000 0.500 0.500 (multiplicity 2)


4.
Below is an optimized crystal structure of SrAl2Tc, with properties calculated at the PBE level.

- Crystal system: orthorhombic
- DFT formation energy: -134.8 meV/atom
- Energy above the lowest structure with this stoichiometry: 0.000 eV/atom

a = 3.280 Å, b = 3.297 Å, c = 7.484 Å
α = 90.00°, β = 90.00°, γ = 90.00°
Space group Pmmm (No. 47)
One atom of each set of equivalent atoms:
1 Sr 0.000 0.000 0.000 (multiplicity 1)
2 Al 0.500 0.500 0.328 (multiplicity 2)
3 Tc 0.000 0.000 0.500 (multiplicity 1)


5.
Below is an optimized crystal structure of SrAlTc3, with properties calculated at the PBE level.

- Crystal system: cubic
- DFT formation energy: 2813.6 meV/atom
- Energy above the lowest structure with this stoichiometry: 1.656 eV/atom

a = 4.793 Å, b = 4.793 Å, c = 4.793 Å
α = 90.00°, β = 90.00°, γ = 90.00°
Space group Pm-3m (No. 221)
One atom of each set of equivalent atoms:
1 Sr 0.000 0.000 0.000 (multiplicity 1)
2 Al 0.500 0.500 0.500 (multiplicity 1)
3 Tc 0.000 0.000 0.500 (multiplicity 3)


6.
Below is an optimized crystal structure of SrAl2Tc, with properties calculated at the PBE level.

- Crystal system: trigonal
- DFT formation energy: 197.3 meV/atom
- Energy above the lowest structure with this stoichiometry: 0.332 eV/atom

a = 3.5982 Å, b = 3.5982 Å, c = 24.1078 Å
α = 90.00°, β = 90.00°, γ = 120.00°
Space group R-3m (No. 166, hexagonal axes)
One atom of each set of equivalent atoms:
1 Sr 0.0000 0.0000 0.0000 (multiplicity 3)
2 Al 0.0000 0.0000 0.2272 (multiplicity 6)
3 Tc 0.0000 0.0000 0.5000 (multiplicity 3)


7.
Below is an optimized crystal structure of Sr2AlTc, with properties calculated at the PBE level.

- Crystal system: tetragonal
- DFT formation energy: 123.7 meV/atom

a = 3.566 Å, b = 3.566 Å, c = 8.929 Å
α = 90.00°, β = 90.00°, γ = 90.00°
Space group P4mm (No. 99)
One atom of each set of equivalent atoms:
1 Sr 0.000 0.000 0.000 (multiplicity 1)
2 Sr 0.500 0.500 0.408 (multiplicity 1)
3 Al 0.500 0.500 0.741 (multiplicity 1)
4 Tc 0.000 0.000 0.667 (multiplicity 1)


8.
Below is an optimized crystal structure of SrAl2Tc, with properties calculated at the PBE level.

- Crystal system: orthorhombic
- DFT formation energy: 491.3 meV/atom
- Energy above the lowest structure with this stoichiometry: 0.626 eV/atom

a = 4.338 Å, b = 4.349 Å, c = 4.362 Å
α = 90.00°, β = 90.00°, γ = 90.00°
Space group Pmmm (No. 47)
One atom of each set of equivalent atoms:
1 Sr 0.000 0.000 0.000 (multiplicity 1)
2 Al 0.500 0.000 0.500 (multiplicity 1)
3 Al 0.500 0.500 0.000 (multiplicity 1)
4 Tc 0.000 0.500 0.500 (multiplicity 1)